[1]
Entry from Alexandria via LeMat-Bulk: a relaxed structure of Na2AsI2 (GGA-PBE).

Cell lengths 8.704, 8.704, 4.103 Å; angles 90.00, 90.00, 90.00 degrees
Atoms (fractional coordinates):
As (0.500, 0.500, 0.000)
Na (0.150, 0.650, 0.500)
I (0.163, 0.337, 0.000)
I (0.837, 0.663, 0.000)
Na (0.850, 0.350, 0.500)
I (0.663, 0.163, 0.000)
I (0.337, 0.837, 0.000)
As (0.000, 0.000, 0.000)
Na (0.650, 0.850, 0.500)
Na (0.350, 0.150, 0.500)

As for the raw formation energy: -0.4161 eV per atom. The total energy comes out at -24.94 eV per cell. The space group is P4/mbm. The value obtained for the excess energy over the best structure of this formula in the dataset is 0.0 meV per atom. The value obtained for the density of states at the Fermi level is 0.443 states/eV/atom. As for the size of the total moment: 0.000 Bohr magnetons per cell. The density is 4.00 Mg/m³.

=====

[2]
Entry from Alexandria via LeMat-Bulk: a relaxed structure of Ho3Zn2Pd6 (GGA-PBE).

Cell lengths 4.133, 4.133, 12.531 Å; angles 99.49, 99.49, 90.00 degrees
Atoms (fractional coordinates):
Ho (0.000, 0.000, 0.000)
Pd (0.314, 0.314, 0.628)
Pd (0.392, 0.892, 0.784)
Pd (0.108, 0.608, 0.216)
Pd (0.608, 0.108, 0.216)
Zn (0.451, 0.451, 0.902)
Ho (0.802, 0.802, 0.604)
Pd (0.686, 0.686, 0.372)
Zn (0.549, 0.549, 0.098)
Ho (0.198, 0.198, 0.396)
Pd (0.892, 0.392, 0.784)

The total energy comes out at -55.40 eV per cell. The space group is I4/mmm. The value obtained for the excess energy over the best structure of this formula in the dataset is 58.8 meV per atom. The value obtained for the density of states at the Fermi level is 0.453 states/eV/atom. As for the size of the total moment: 0.000 Bohr magnetons per cell. The density is 10.09 Mg/m³.

=====

[3]
Entry from Alexandria via LeMat-Bulk: a relaxed structure of TmMnGa4 (GGA-PBE).

Cell lengths 5.616, 6.127, 7.570 Å; angles 86.64, 90.00, 117.28 degrees
Last column: magnetic moment on the atom in μB.
Atoms (fractional coordinates):
Ga (0.587, 0.489, 0.663)  -0.07
Mn (0.500, 0.500, 0.000)  2.95
Ga (0.902, 0.489, 0.163)  -0.07
Ga (0.809, 0.899, 0.110)  -0.02
Ga (0.191, 0.101, 0.890)  -0.02
Ga (0.910, 0.101, 0.390)  -0.02
Ga (0.098, 0.511, 0.837)  -0.07
Ga (0.413, 0.511, 0.337)  -0.07
Tm (0.627, 0.000, 0.750)  -0.08
Tm (0.373, 0.000, 0.250)  -0.08
Ga (0.090, 0.899, 0.610)  -0.02
Mn (0.000, 0.500, 0.500)  2.95

The total energy comes out at -53.19 eV per cell. The space group is C2/c. The value obtained for the density of states at the Fermi level is 0.514 states/eV/atom. As for the size of the total moment: 5.501 Bohr magnetons per cell. The density is 7.23 Mg/m³.

=====

[4]
Entry from Alexandria via LeMat-Bulk: a relaxed structure of RuPtBr2 (GGA-PBE).

Cell lengths 3.856, 4.969, 4.966 Å; angles 61.96, 90.00, 90.00 degrees
Atoms (fractional coordinates):
Ru (0.500, 0.732, 0.732)
Br (0.000, 0.936, 0.936)
Pt (0.000, 0.537, 0.538)
Br (0.500, 0.295, 0.294)

As for the raw formation energy: 0.4152 eV per atom. The total energy comes out at -17.00 eV per cell. The space group is Amm2. The value obtained for the excess energy over the best structure of this formula in the dataset is 260.1 meV per atom. The value obtained for the density of states at the Fermi level is 1.080 states/eV/atom. As for the size of the total moment: 0.000 Bohr magnetons per cell. The density is 9.02 Mg/m³.